# 1
Below is an optimized crystal structure of CdIn2FeGe, with properties calculated at the PBE level.

POSCAR file:
```
CdIn2FeGe
1.0
5.0823 0.0000 0.0000
0.0000 5.0823 0.0000
0.0000 0.0000 4.5008
Ge Cd Fe In
1 1 1 2
direct
0.0000 0.0000 0.5000 Ge
0.5000 0.5000 0.5000 Cd
0.0000 0.0000 0.0000 Fe
0.0000 0.5000 0.0000 In
0.5000 0.0000 0.0000 In
```

## Properties
- ΔH_f (0 K): 119 meV/atom
- Total magnetic moment: 0.0 Bohr magnetons per cell
- V: 23.25 A^3/atom
- Space group: P4/mmm

# 2
Below is an optimized crystal structure of CdInFeGe2, with properties calculated at the PBE level.

POSCAR file:
```
CdInFeGe2
1.0
4.5588 0.0000 0.0000
0.0000 4.5588 0.0000
0.0000 0.0000 5.1449
Ge Cd Fe In
2 1 1 1
direct
0.0000 0.5000 0.0000 Ge
0.5000 0.0000 0.0000 Ge
0.5000 0.5000 0.5000 Cd
0.0000 0.0000 0.0000 Fe
0.0000 0.0000 0.5000 In
```

## Properties
- ΔH_f (0 K): 152 meV/atom
- Total magnetic moment: 0.9 Bohr magnetons per cell
- V: 21.39 A^3/atom
- Space group: P4/mmm

# 3
Below is an optimized crystal structure of KCdFeGe2, with properties calculated at the PBE level.

POSCAR file:
```
KCdFeGe2
1.0
-1.0452 0.7184 -4.4529
3.5863 -2.6397 -1.2676
-3.0611 -4.1800 0.0441
K Ge Fe Cd
1 2 1 1
direct
0.5000 0.5000 0.5000 K
0.0000 0.5000 0.0000 Ge
0.5000 0.0000 0.0000 Ge
0.0000 0.0000 0.0000 Fe
0.0000 0.0000 0.5000 Cd
```

## Properties
- ΔH_f (0 K): 27 meV/atom
- Total magnetic moment: 1.0 Bohr magnetons per cell
- V: 22.21 A^3/atom
- Space group: P4/mmm

# 4
Below is an optimized crystal structure of KCd2FeGe, with properties calculated at the PBE level.

POSCAR file:
```
KCd2FeGe
1.0
5.1611 0.0000 0.0000
0.0000 5.1611 0.0000
0.0000 0.0000 4.5513
K Ge Fe Cd
1 1 1 2
direct
0.5000 0.5000 0.5000 K
0.0000 0.0000 0.5000 Ge
0.0000 0.0000 0.0000 Fe
0.0000 0.5000 0.0000 Cd
0.5000 0.0000 0.0000 Cd
```

## Properties
- ΔH_f (0 K): 68 meV/atom
- Total magnetic moment: 0.5 Bohr magnetons per cell
- V: 24.25 A^3/atom
- Space group: P4/mmm

# 5
Below is an optimized crystal structure of La2CdFeGe, with properties calculated at the PBE level.

POSCAR file:
```
La2CdFeGe
1.0
5.3176 0.0000 0.0000
0.0000 5.3176 0.0000
0.0000 0.0000 4.5880
Ge Cd Fe La
1 1 1 2
direct
0.0000 0.0000 0.5000 Ge
0.5000 0.5000 0.5000 Cd
0.0000 0.0000 0.0000 Fe
0.0000 0.5000 0.0000 La
0.5000 0.0000 0.0000 La
```

## Properties
- ΔH_f (0 K): -294 meV/atom
- Total magnetic moment: 0.0 Bohr magnetons per cell
- V: 25.95 A^3/atom
- Space group: P4/mmm

# 6
Below is an optimized crystal structure of NaCdFeGe2, with properties calculated at the PBE level.

POSCAR file:
```
NaCdFeGe2
1.0
-3.4877 -2.9049 0.3616
0.4796 -1.1219 -4.3869
3.2408 -3.7282 1.3078
Na Ge Fe Cd
1 2 1 1
direct
0.5000 0.5000 0.5000 Na
0.0000 0.5000 0.0000 Ge
0.5000 0.0000 0.0000 Ge
0.0000 0.0000 0.0000 Fe
0.0000 0.0000 0.5000 Cd
```

## Properties
- ΔH_f (0 K): 34 meV/atom
- Total magnetic moment: 1.0 Bohr magnetons per cell
- V: 21.19 A^3/atom
- Space group: P4/mmm